Entry 1:
La2Si2O7: optimized geometry, GGA-PBE.

Cell: 6.874 6.956 12.645 Å, 84.11 88.90 88.48°
Atoms (fractional coordinates):
Si  0.838  0.684  0.908
Si  0.162  0.316  0.092
Si  0.159  0.688  0.411
Si  0.426  0.278  0.898
Si  0.225  0.892  0.609
Si  0.574  0.722  0.102
Si  0.775  0.108  0.391
Si  0.841  0.312  0.589
O  0.306  0.091  0.548
O  0.027  0.364  0.656
O  0.697  0.502  0.555
O  0.071  0.911  0.709
O  0.059  0.493  0.146
O  0.092  0.783  0.523
O  0.598  0.253  0.345
O  0.929  0.089  0.291
O  0.908  0.217  0.477
O  0.375  0.814  0.048
O  0.402  0.747  0.655
O  0.691  0.821  0.828
O  0.625  0.186  0.952
O  0.003  0.828  0.948
O  0.973  0.636  0.344
O  0.698  0.605  0.012
O  0.708  0.875  0.157
O  0.302  0.395  0.988
O  0.303  0.498  0.445
O  0.296  0.841  0.337
O  0.532  0.544  0.194
O  0.997  0.172  0.052
O  0.468  0.456  0.806
O  0.292  0.125  0.843
O  0.309  0.179  0.172
O  0.941  0.507  0.854
O  0.694  0.909  0.452
O  0.704  0.159  0.663
La  0.628  0.629  0.362
La  0.075  0.834  0.154
La  0.677  0.241  0.136
La  0.372  0.371  0.638
La  0.755  0.806  0.641
La  0.323  0.759  0.864
La  0.245  0.194  0.359
La  0.925  0.166  0.846

Summary:
- V: 601 Å³ per cell
- Electronic total energy: -8.26 eV/atom



Entry 2:
Ac3PmPu2Se6: optimized geometry, GGA-PBE.

Cell: 7.455 7.455 7.528 Å, 99.49 99.49 120.02°
Each line ends with the local moment (μB).
Atoms (fractional coordinates):
Ac  0.166  0.834  0.500  0.02
Ac  0.500  0.500  0.500  0.02
Ac  0.834  0.166  0.500  0.02
Se  0.260  0.260  0.770  -0.03
Se  0.740  0.740  0.230  -0.03
Se  0.077  0.413  0.230  -0.03
Se  0.587  0.923  0.770  -0.03
Se  0.923  0.587  0.770  -0.03
Se  0.413  0.077  0.230  -0.03
Pm  0.000  0.000  0.000  0.05
Pu  0.333  0.667  0.000  5.47
Pu  0.667  0.333  0.000  5.47

Summary:
- V: 342 Å³ per cell
- Electronic total energy: -7.30 eV/atom



Entry 3:
ZrAlTc: optimized geometry, GGA-PBE.

Cell: 3.192 3.192 6.208 Å, 90.00 90.00 120.00°
Atoms (fractional coordinates):
Zr  0.333  0.667  0.647
Tc  0.667  0.333  0.325
Al  0.000  0.000  0.028

Summary:
- V: 55 Å³ per cell
- Energy relative to the lowest polymorph listed for this composition: 0.455 eV/atom
- E_form: -0.053 eV/atom
- Electronic total energy: -7.61 eV/atom